Record 1
Entry from Alexandria via LeMat-Bulk: a relaxed structure of Cd2CuSiHg (PBE).

Summary:
raw formation energy: 1.4 eV/f.u.
mass density: 7.37 g cm⁻³
symmetry: P4/mmm
DOS at the Fermi energy: 0.414 states/eV/atom

Cell lengths 5.141, 4.406, 5.141 Å; angles 90.00, 90.00, 90.00 degrees
Fractional positions:
Si: 0.000 0.500 0.000
Hg: 0.500 0.500 0.500
Cd: 0.500 0.000 0.000
Cu: 0.000 0.000 0.000
Cd: 0.000 0.000 0.500

Record 2
Entry from Alexandria via LeMat-Bulk: a relaxed structure of Cd2CuSnHg (PBE).

Summary:
mass density: 7.73 g cm⁻³
ΔH_f (0 K): 0.146 eV per atom
symmetry: P4/mmm
DOS at the Fermi energy: 0.172 states/eV/atom

Cell lengths 5.112, 5.112, 4.997 Å; angles 90.00, 90.00, 90.00 degrees
Fractional positions:
Cd: 0.500 0.000 0.000
Hg: 0.500 0.500 0.500
Cd: 0.000 0.500 0.000
Cu: 0.000 0.000 0.000
Sn: 0.000 0.000 0.500

Record 3
Entry from Alexandria via LeMat-Bulk: a relaxed structure of SrCd2CuHg (PBE).

Summary:
mass density: 7.23 g cm⁻³
ΔH_f (0 K): -0.126 eV per atom
symmetry: P4/mmm
DOS at the Fermi energy: 0.437 states/eV/atom

Cell lengths 5.082, 5.082, 5.129 Å; angles 90.00, 90.00, 90.00 degrees
Fractional positions:
Hg: 0.000 0.000 0.500
Cd: 0.500 0.000 0.000
Sr: 0.500 0.500 0.500
Cu: 0.000 0.000 0.000
Cd: 0.000 0.500 0.000

Record 4
Entry from Alexandria via LeMat-Bulk: a relaxed structure of SrCdCuHg (PBE).

Summary:
mass density: 7.85 g cm⁻³
ΔH_f (0 K): -0.129 eV per atom
symmetry: F-43m
DOS at the Fermi energy: 0.693 states/eV/atom

Cell lengths 5.177, 5.177, 5.177 Å; angles 60.00, 60.00, 60.00 degrees
Fractional positions:
Cd: 0.750 0.750 0.750
Hg: 0.000 0.000 0.000
Sr: 0.250 0.250 0.250
Cu: 0.500 0.500 0.500

Record 5
Entry from Alexandria via LeMat-Bulk: a relaxed structure of TbCdCuHg (PBE).

Summary:
mass density: 10.56 g cm⁻³
ΔH_f (0 K): -0.271 eV per atom
symmetry: F-43m
DOS at the Fermi energy: 0.483 states/eV/atom

Cell lengths 4.919, 4.919, 4.919 Å; angles 60.00, 60.00, 60.00 degrees
Fractional positions:
Tb: 0.250 0.250 0.250
Cd: 0.750 0.750 0.750
Cu: 0.000 0.000 0.000
Hg: 0.500 0.500 0.500

Record 6
Entry from Alexandria via LeMat-Bulk: a relaxed structure of TlCdCuHg2 (PBE).

Summary:
mass density: 9.18 g cm⁻³
ΔH_f (0 K): 0.171 eV per atom
symmetry: P4/mmm
energy relative to the lowest polymorph listed for this composition: 0.0568 eV/atom
DOS at the Fermi energy: 0.317 states/eV/atom

Cell lengths 5.164, 5.164, 5.300 Å; angles 90.00, 90.00, 90.00 degrees
Fractional positions:
Tl: 0.000 0.000 0.500
Cu: 0.000 0.000 0.000
Hg: 0.000 0.500 0.000
Hg: 0.500 0.000 0.000
Cd: 0.500 0.500 0.500